[1]
Density functional theory data (PBE) for crystalline CdSbPtW2 at its relaxed geometry.

formation energy from raw total energies	2.29	eV per atom

Cell lengths 4.9024, 4.9024, 5.0790 Å; angles 90.00, 90.00, 90.00 degrees
Closest atoms and distances in Å follow each position.
Positions (direct):
Cd (0.0000, 0.0000, 0.0000)  2 Sb 2.54
Sb (0.0000, 0.0000, 0.5000)  4 W 2.45, 2 Cd 2.54
Pt (0.5000, 0.5000, 0.0000)  4 Cd 3.47, 8 W 3.53
W (0.0000, 0.5000, 0.5000)  2 Sb 2.45
W (0.5000, 0.0000, 0.5000)  2 Sb 2.45

[2]
Density functional theory data (PBE) for crystalline ScCdPt at its relaxed geometry.

energy of formation	-788	meV per atom

Cell lengths 5.2154, 5.2154, 5.2154 Å; angles 140.54, 140.54, 57.04 degrees
Closest atoms and distances in Å follow each position.
Positions (direct):
Sc (0.0000, 0.0000, 0.0000)  4 Pt 2.79, 5 Cd 2.88-3.02
Cd (0.6860, 0.6860, 0.0000)  5 Sc 2.88-3.02, 5 Pt 2.97
Pt (0.3624, 0.3624, 0.0000)  4 Sc 2.79, 5 Cd 2.97